Here is DyErTl after structural relaxation from the Alexandria database. Energies are from PBE.

```
DyErTl
1.0
5.3886 -0.0011 0.0000
-2.6942 4.6667 0.0000
0.0000 0.0000 6.7002
Er Tl Dy
2 2 2
direct
0.0000 0.5000 0.5000 Er
0.0000 0.5000 0.0000 Er
0.3334 0.1666 0.2500 Tl
0.6666 0.8334 0.7500 Tl
0.3332 0.1668 0.7500 Dy
0.6668 0.8332 0.2500 Dy
```

**Energy of formation from the pure elements**: -0.75 eV per formula unit
**Energy above the most stable polymorph in this dataset**: 0.0021 eV per atom
**Space group**: P6_3/mmc (194)
**M_tot**: 0.463 μB per formula unit